[1]
GGA-PBE Tb3Zn2Ni, optimized geometry; final energy = -97.1 eV/cell; calculated formation energy = -0.341 eV/atom; DOS(E_F) = 14.13 states/eV per cell; magnetic moment = 0.00 μB/atom
1.0
4.574 0.000 0.000
0.000 9.728 0.000
0.000 0.000 12.136
Tb Zn Ni
12 8 4
direct
0.250 0.395 0.061
0.750 0.605 0.939
0.750 0.895 0.439
0.250 0.105 0.561
0.250 0.719 0.245
0.750 0.281 0.755
0.750 0.219 0.255
0.250 0.781 0.745
0.250 0.433 0.396
0.750 0.567 0.604
0.750 0.933 0.104
0.250 0.067 0.896
0.250 0.715 0.492
0.750 0.285 0.508
0.750 0.215 0.008
0.250 0.785 0.992
0.250 0.022 0.303
0.750 0.978 0.697
0.750 0.522 0.197
0.250 0.478 0.803
0.250 0.129 0.117
0.750 0.871 0.883
0.750 0.629 0.383
0.250 0.371 0.617

[2]
GGA-PBE KAg2GeF, optimized geometry; final energy = -14.7 eV/cell; DOS(E_F) = 2.45 states/eV per cell; ΔE_f (raw) = -6.4 kcal/mol of atoms; magnetic moment = 0.00 μB/atom
1.0
-4.308 -2.126 0.274
-0.288 -0.424 -7.828
2.136 -4.309 0.155
Ge K Ag F
1 1 2 1
direct
0.000 0.000 0.000
0.000 0.500 0.000
0.000 0.000 0.500
0.500 0.000 0.000
0.500 0.500 0.500